# 1
Computed, not measured: a relaxed structure of Er6Co2Tc at the PBE level of DFT.

a = 9.137 Å, b = 9.324 Å, c = 9.582 Å
α = 90.00°, β = 90.00°, γ = 90.00°
Space group Immm (No. 71)
One atom of each set of equivalent atoms:
Er 0.000 0.186 0.242
Er 0.187 0.500 0.329
Er 0.235 0.323 0.000
Co 0.000 0.334 0.500
Co 0.000 0.500 0.114
Tc 0.000 0.000 0.000
Tc 0.000 0.000 0.500

Output
total moment = 0.00 μB/f.u.
V = 816.36 Å³/cell
DOS at the Fermi energy = 1.03 states/eV per atom
formation energy from the elements = -0.15 eV per atom


# 2
Computed, not measured: a relaxed structure of ErCoTc at the PBE level of DFT.

a = 6.681 Å, b = 6.681 Å, c = 5.551 Å
α = 90.00°, β = 90.00°, γ = 90.00°
Space group P4_12_12 (No. 92)
One atom of each set of equivalent atoms:
Er 0.230 0.230 0.000
Co 0.177 0.823 0.750
Tc 0.082 0.082 0.500

Output
energy above the lowest structure with this stoichiometry = 0.4341 eV/atom
total moment = 0.00 μB/f.u.
V = 247.82 Å³/cell
DOS at the Fermi energy = 0.95 states/eV per atom
formation energy from the elements = 0.23 eV per atom


# 3
Computed, not measured: a relaxed structure of Er8Co2Tc at the PBE level of DFT.

a = 8.140 Å, b = 12.312 Å, c = 5.679 Å
α = 90.00°, β = 107.97°, γ = 90.00°
Space group Cm (No. 8)
One atom of each set of equivalent atoms:
Er 0.000 0.000 0.000
Er 0.065 0.371 0.788
Er 0.161 0.129 0.601
Er 0.224 0.500 0.376
Er 0.367 0.219 0.190
Co 0.360 0.310 0.686
Tc 0.362 0.000 0.093

Output
total moment = 0.00 μB/f.u.
V = 541.37 Å³/cell
DOS at the Fermi energy = 0.93 states/eV per atom
formation energy from the elements = -0.06 eV per atom


# 4
Computed, not measured: a relaxed structure of ErCo4Tc at the PBE level of DFT.

a = 6.926 Å, b = 6.926 Å, c = 6.926 Å
α = 90.00°, β = 90.00°, γ = 90.00°
Space group F-43m (No. 216)
One atom of each set of equivalent atoms:
Er 0.000 0.000 0.000
Co 0.124 0.124 0.624
Tc 0.250 0.250 0.250

Output
total moment = 8.05 μB/f.u.
V = 332.23 Å³/cell
DOS at the Fermi energy = 1.30 states/eV per atom
formation energy from the elements = 0.00 eV per atom


# 5
Computed, not measured: a relaxed structure of Er5CoTc at the PBE level of DFT.

a = 9.255 Å, b = 13.653 Å, c = 6.226 Å
α = 90.00°, β = 109.55°, γ = 90.00°
Space group C2/c (No. 15)
One atom of each set of equivalent atoms:
Er 0.000 0.146 0.250
Er 0.106 0.349 0.557
Er 0.224 0.081 0.859
Co 0.000 0.000 0.000
Tc 0.000 0.498 0.750

Output
total moment = 0.08 μB/f.u.
V = 741.31 Å³/cell
DOS at the Fermi energy = 0.89 states/eV per atom
formation energy from the elements = -0.05 eV per atom


# 6
Computed, not measured: a relaxed structure of ErCoTc at the PBE level of DFT.

a = 4.970 Å, b = 5.358 Å, c = 7.554 Å
α = 90.00°, β = 90.00°, γ = 90.00°
Space group Imma (No. 74)
One atom of each set of equivalent atoms:
Er 0.000 0.250 0.121
Co 0.000 0.000 0.500
Tc 0.250 0.250 0.750

Output
energy above the lowest structure with this stoichiometry = 0.0000 eV/atom
total moment = 0.98 μB/f.u.
V = 201.19 Å³/cell
DOS at the Fermi energy = 0.96 states/eV per atom
formation energy from the elements = -0.20 eV per atom


# 7
Computed, not measured: a relaxed structure of ErThCoTc at the PBE level of DFT.

a = 6.872 Å, b = 6.872 Å, c = 6.872 Å
α = 90.00°, β = 90.00°, γ = 90.00°
Space group F-43m (No. 216)
One atom of each set of equivalent atoms:
Er 0.000 0.000 0.000
Th 0.000 0.000 0.500
Co 0.250 0.250 0.750
Tc 0.250 0.250 0.250

Output
total moment = 0.31 μB/f.u.
V = 324.46 Å³/cell
DOS at the Fermi energy = 0.86 states/eV per atom
formation energy from the elements = -0.12 eV per atom


# 8
Computed, not measured: a relaxed structure of ErZrCoTc at the PBE level of DFT.

a = 6.583 Å, b = 6.583 Å, c = 6.583 Å
α = 90.00°, β = 90.00°, γ = 90.00°
Space group F-43m (No. 216)
One atom of each set of equivalent atoms:
Er 0.000 0.000 0.000
Zr 0.000 0.000 0.500
Co 0.250 0.250 0.750
Tc 0.250 0.250 0.250

Output
total moment = 0.00 μB/f.u.
V = 285.24 Å³/cell
DOS at the Fermi energy = 1.16 states/eV per atom
formation energy from the elements = -0.19 eV per atom


# 9
Computed, not measured: a relaxed structure of Er5Co2Te2 at the PBE level of DFT.

a = 15.471 Å, b = 7.582 Å, c = 7.523 Å
α = 90.00°, β = 90.00°, γ = 90.00°
Space group Cmce (No. 64)
One atom of each set of equivalent atoms:
Er 0.000 0.000 0.000
Er 0.114 0.162 0.340
Co 0.000 0.131 0.629
Te 0.210 0.000 0.000

Output
energy above the lowest structure with this stoichiometry = 0.0491 eV/atom
total moment = 0.00 μB/f.u.
V = 882.47 Å³/cell
DOS at the Fermi energy = 0.73 states/eV per atom


# 10
Computed, not measured: a relaxed structure of Er12Co6Te at the PBE level of DFT.

a = 9.608 Å, b = 9.608 Å, c = 9.608 Å
α = 90.00°, β = 90.00°, γ = 90.00°
Space group Im-3 (No. 204)
One atom of each set of equivalent atoms:
Er 0.000 0.198 0.306
Co 0.000 0.387 0.500
Te 0.000 0.000 0.000

Output
total moment = 0.00 μB/f.u.
E = -5.63 eV per atom
V = 887.06 Å³/cell
DOS at the Fermi energy = 0.61 states/eV per atom


# 11
Computed, not measured: a relaxed structure of Er4CoTe at the PBE level of DFT.

a = 8.149 Å, b = 3.845 Å, c = 19.216 Å
α = 90.00°, β = 90.00°, γ = 90.00°
Space group Pnma (No. 62)
One atom of each set of equivalent atoms:
Er 0.016 0.250 0.067
Er 0.045 0.750 0.216
Er 0.138 0.750 0.645
Er 0.144 0.750 0.454
Co 0.237 0.250 0.551
Te 0.245 0.250 0.313

Output
energy above the lowest structure with this stoichiometry = 0.0000 eV/atom
total moment = 0.00 μB/f.u.
V = 602.04 Å³/cell
DOS at the Fermi energy = 0.79 states/eV per atom


# 12
Computed, not measured: a relaxed structure of Er5CoTe2 at the PBE level of DFT.

a = 8.113 Å, b = 12.963 Å, c = 4.000 Å
α = 90.00°, β = 90.00°, γ = 90.00°
Space group Pbam (No. 55)
One atom of each set of equivalent atoms:
Er 0.000 0.000 0.000
Er 0.162 0.322 0.000
Er 0.165 0.580 0.500
Co 0.000 0.500 0.000
Te 0.038 0.819 0.500

Output
energy above the lowest structure with this stoichiometry = 0.0000 eV/atom
total moment = 0.00 μB/f.u.
V = 420.62 Å³/cell
DOS at the Fermi energy = 0.99 states/eV per atom